Below is VFe2C after structural relaxation, with properties calculated at the PBE-GGA level.

Volume: 11.02 Å³ per atom
ΔH_f (0 K): 0.377 eV/atom
Space group: R-3m
Electronic total energy: -33.8 eV for the cell shown

abc: 2.7415 2.7415 6.9540
angles: 78.63 78.63 60.00
Each line ends with the local moment (μB).
Fractional coordinates of all 4 atoms:
C (0.5000, 0.5000, 0.5000)  -0.07
Fe (0.1142, 0.1142, 0.6575)  1.08
Fe (0.8858, 0.8858, 0.3425)  1.08
V (0.0000, 0.0000, 0.0000)  -0.11